No. 1
A plane-wave DFT calculation with PBE was carried out for a relaxed ZrTa3Mo crystal.

Results
magnetization: 0.00 μB/f.u.
formation enthalpy at 0 K: 1.13 eV/atom
calculated total energy: -9.857 eV/atom
energy above the lowest structure with this stoichiometry: 0.00 eV per formula unit

```
data_ZrTa3Mo
_symmetry_space_group_name_H-M 'P m -3 m'
_symmetry_Int_Tables_number 221
_symmetry_space_group_name_Hall '-P 4 2 3'
_cell_length_a 4.835
_cell_length_b 4.835
_cell_length_c 4.835
_cell_angle_alpha 90.00
_cell_angle_beta 90.00
_cell_angle_gamma 90.00
loop_
_atom_site_label
_atom_site_fract_x
_atom_site_fract_y
_atom_site_fract_z
Zr1 0.000 0.000 0.000
Ta1 0.000 0.500 0.500
Mo1 0.500 0.500 0.500
```

***

No. 2
A plane-wave DFT calculation with PBE was carried out for a relaxed La3RuAu crystal.

Results
magnetization: 0.00 μB/f.u.
formation enthalpy at 0 K: -0.46 eV/atom
calculated total energy: -5.930 eV/atom
energy above the lowest structure with this stoichiometry: 0.12 eV per formula unit

```
data_La3RuAu
_symmetry_space_group_name_H-M 'P -1'
_symmetry_Int_Tables_number 2
_cell_length_a 4.080
_cell_length_b 7.532
_cell_length_c 9.989
_cell_angle_alpha 91.17
_cell_angle_beta 90.04
_cell_angle_gamma 105.69
loop_
_symmetry_equiv_pos_as_xyz
'x,y,z'
'-x,-y,-z'
loop_
_atom_site_label
_atom_site_fract_x
_atom_site_fract_y
_atom_site_fract_z
La1 0.059 0.118 0.325
La2 0.124 0.248 0.974
La3 0.338 0.676 0.346
Ru1 0.484 0.966 0.159
Au1 0.299 0.599 0.788
```

***

No. 3
A plane-wave DFT calculation with PBE was carried out for a relaxed CaGa2CuPt crystal.

Results
magnetization: 0.00 μB/f.u.
formation enthalpy at 0 K: -0.56 eV/atom
calculated total energy: -4.201 eV/atom

```
data_CaGa2CuPt
_symmetry_space_group_name_H-M 'I -4 m 2'
_symmetry_Int_Tables_number 119
_symmetry_space_group_name_Hall 'I -4 -2'
_cell_length_a 4.250
_cell_length_b 4.250
_cell_length_c 10.424
_cell_angle_alpha 90.00
_cell_angle_beta 90.00
_cell_angle_gamma 90.00
loop_
_atom_site_label
_atom_site_fract_x
_atom_site_fract_y
_atom_site_fract_z
Ca1 0.000 0.000 0.000
Ga1 0.000 0.000 0.377
Cu1 0.000 0.500 0.250
Pt1 0.000 0.500 0.750
```

***

No. 4
A plane-wave DFT calculation with PBE was carried out for a relaxed Y2ZrAl crystal.

Results
magnetization: 0.00 μB/f.u.
formation enthalpy at 0 K: -0.15 eV/atom
calculated total energy: -6.457 eV/atom

```
data_Y2ZrAl
_symmetry_space_group_name_H-M 'P 4 m m'
_symmetry_Int_Tables_number 99
_cell_length_a 3.404
_cell_length_b 3.404
_cell_length_c 8.860
_cell_angle_alpha 90.00
_cell_angle_beta 90.00
_cell_angle_gamma 90.00
loop_
_symmetry_equiv_pos_as_xyz
'x,y,z'
'-y,x,z'
'-x,-y,z'
'y,-x,z'
'-x,y,z'
'y,x,z'
'x,-y,z'
'-y,-x,z'
loop_
_atom_site_label
_atom_site_fract_x
_atom_site_fract_y
_atom_site_fract_z
Y1 0.000 0.000 0.000
Y2 0.500 0.500 0.317
Zr1 0.000 0.000 0.573
Al1 0.500 0.500 0.775
```